1.
# NiHg2Te

A relaxed structure of NiHg2Te (PBE, Alexandria via LeMat-Bulk).

Cell lengths 5.416, 7.989, 4.194 Å; angles 90.00, 90.00, 90.00 degrees
Space group Cmmm (No. 65)
Asymmetric unit:
Ni 0.000 0.000 0.000 x2
Hg 0.250 0.250 0.500 x4
Te 0.000 0.500 0.000 x2

Calculated values
The value obtained for the magnetization is 0.0 Bohr magnetons per cell. For the total energy, the calculation gives -15.95 eV for the cell shown. Its energy relative to the elements, uncorrected is 387 meV per atom.

***

2.
# La2Pr2Tm5

A relaxed structure of La2Pr2Tm5 (PBE, Alexandria via LeMat-Bulk).

Cell lengths 17.742, 3.491, 9.844 Å; angles 90.00, 98.79, 90.00 degrees
Space group C2/m (No. 12)
Asymmetric unit:
La 0.166 0.000 0.219 x4
Pr 0.005 0.500 0.688 x4
Tm 0.000 0.000 0.000 x2
Tm 0.172 0.000 0.864 x4
Tm 0.172 0.500 0.541 x4

Calculated values
The value obtained for the magnetization is 0.0 Bohr magnetons per cell. Its excess energy over the best structure of this formula in the dataset is 0.0 meV/atom. For the total energy, the calculation gives -80.91 eV for the cell shown. For the formation enthalpy at 0 K, the calculation gives 146 meV per atom.

***

3.
# CoAsW2

A relaxed structure of CoAsW2 (PBE, Alexandria via LeMat-Bulk).

Cell lengths 2.930, 2.930, 6.651 Å; angles 90.00, 90.00, 90.00 degrees
Space group P4/mmm (No. 123)
Asymmetric unit:
Co 0.000 0.000 0.000 x1
As 0.000 0.000 0.500 x1
W 0.500 0.500 0.249 x2

Calculated values
The value obtained for the magnetization is 0.0 Bohr magnetons per cell. For the total energy, the calculation gives -36.52 eV for the cell shown. For the formation enthalpy at 0 K, the calculation gives 285 meV per atom.

***

4.
# HgS5Cl

A relaxed structure of HgS5Cl (PBE, Alexandria via LeMat-Bulk).

Cell lengths 7.280, 18.934, 4.466 Å; angles 90.00, 125.86, 90.00 degrees
Space group C2 (No. 5)
Asymmetric unit:
Hg 0.000 0.000 0.000 x2
S 0.000 0.202 0.000 x2
S 0.111 0.533 0.441 x4
S 0.123 0.268 0.452 x4
Cl 0.000 0.920 0.500 x2

Calculated values
The value obtained for the magnetization is 2.1 Bohr magnetons per cell. For the total energy, the calculation gives -45.43 eV for the cell shown. Its energy relative to the elements, uncorrected is 10 meV per atom.

***

5.
# Ho5Er4Tm2

A relaxed structure of Ho5Er4Tm2 (PBE, Alexandria via LeMat-Bulk).

Cell lengths 10.853, 7.242, 9.084 Å; angles 90.00, 106.87, 90.00 degrees
Space group C2/m (No. 12)
Asymmetric unit:
Ho 0.000 0.000 0.000 x2
Ho 0.069 0.279 0.280 x8
Er 0.169 0.500 0.621 x4
Er 0.179 0.500 0.999 x4
Tm 0.146 0.000 0.621 x4

Calculated values
The value obtained for the magnetization is 0.0 Bohr magnetons per cell. Its excess energy over the best structure of this formula in the dataset is 0.0 meV/atom. For the total energy, the calculation gives -97.09 eV for the cell shown. For the formation enthalpy at 0 K, the calculation gives 140 meV per atom.

***

6.
# RuSe

A relaxed structure of RuSe (PBE, Alexandria via LeMat-Bulk).

Cell lengths 5.162, 5.162, 5.162 Å; angles 90.00, 90.00, 90.00 degrees
Space group Fm-3m (No. 225)
Asymmetric unit:
Ru 0.000 0.000 0.000 x4
Se 0.000 0.000 0.500 x4

Calculated values
The value obtained for the magnetization is 2.9 Bohr magnetons per cell. For the total energy, the calculation gives -47.37 eV for the cell shown. Its energy relative to the elements, uncorrected is 459 meV per atom.

***

7.
# Mg8Bi6Pb

A relaxed structure of Mg8Bi6Pb (PBE, Alexandria via LeMat-Bulk).

Cell lengths 8.2487, 8.2487, 22.6850 Å; angles 90.00, 90.00, 120.00 degrees
Space group R-3 (No. 148, hexagonal axes)
Asymmetric unit:
Mg 0.0000 0.0000 0.1634 x6
Mg 0.0078 0.3196 0.6246 x18
Bi 0.0072 0.3541 0.4248 x18
Pb 0.0000 0.0000 0.5000 x3

Calculated values
The value obtained for the magnetization is 0.0 Bohr magnetons per cell. For the total energy, the calculation gives -127.75 eV for the cell shown. For the formation enthalpy at 0 K, the calculation gives -189 meV per atom.

***

8.
# SrHgN2F

A relaxed structure of SrHgN2F (PBE, Alexandria via LeMat-Bulk).

Cell lengths 4.182, 4.182, 4.908 Å; angles 90.00, 90.00, 90.00 degrees
Space group P4/mmm (No. 123)
Asymmetric unit:
Sr 0.000 0.000 0.000 x1
Hg 0.500 0.500 0.500 x1
N 0.000 0.500 0.500 x2
F 0.500 0.500 0.000 x1

Calculated values
The value obtained for the magnetization is 1.7 Bohr magnetons per cell. Its excess energy over the best structure of this formula in the dataset is 0.0 meV/atom. For the total energy, the calculation gives -19.64 eV for the cell shown. Its energy relative to the elements, uncorrected is 173 meV per atom.